# 1
VASP calculation (GGA-PBE) on crystalline DyHo3Hg7 at its relaxed geometry.

Summary:
The calculation puts the density at 9.7 Mg/m³. As for the space group: Cmcm, No. 63. The calculation puts the calculated formation energy at -0.208 eV/atom.

abc: 15.819 15.819 12.524
angles: 90.00 90.00 166.95
Fractional positions:
1 Dy 0.072 0.928 0.750
2 Dy 0.928 0.072 0.250
3 Ho 0.068 0.932 0.048
4 Ho 0.068 0.932 0.452
5 Ho 0.188 0.812 0.750
6 Ho 0.812 0.188 0.250
7 Ho 0.932 0.068 0.548
8 Ho 0.932 0.068 0.952
9 Hg 0.270 0.730 0.078
10 Hg 0.270 0.730 0.422
11 Hg 0.371 0.629 0.096
12 Hg 0.371 0.629 0.404
13 Hg 0.420 0.580 0.750
14 Hg 0.489 0.511 0.118
15 Hg 0.489 0.511 0.382
16 Hg 0.511 0.489 0.618
17 Hg 0.511 0.489 0.882
18 Hg 0.580 0.420 0.250
19 Hg 0.629 0.371 0.596
20 Hg 0.629 0.371 0.904
21 Hg 0.730 0.270 0.578
22 Hg 0.730 0.270 0.922


# 2
VASP calculation (GGA-PBE) on crystalline PaZn2In at its relaxed geometry.

Summary:
For the distance to the lowest polymorph of the same formula, the calculation gives 0.061 eV/atom. The calculation puts the density at 9.3 Mg/m³. As for the space group: P4/mmm, No. 123. The calculation puts the calculated formation energy at 0.032 eV/atom.

abc: 4.514 4.514 4.198
angles: 90.00 90.00 90.00
Fractional positions:
1 Pa 0.000 0.000 0.000
2 Zn 0.000 0.500 0.500
3 Zn 0.500 0.000 0.500
4 In 0.500 0.500 0.000


# 3
VASP calculation (GGA-PBE) on crystalline Ba2TlSiRu at its relaxed geometry.

Summary:
The calculation puts the density at 4.9 Mg/m³. As for the space group: P4/mmm, No. 123. The formation energy (no corrections) comes out at 84.60 kJ per mole of atoms.

abc: 6.382 6.382 5.015
angles: 90.00 90.00 90.00
Fractional positions:
1 Ba 0.000 0.500 0.000
2 Ba 0.500 0.000 0.000
3 Tl 0.000 0.000 0.000
4 Si 0.500 0.500 0.500
5 Ru 0.000 0.000 0.500


# 4
VASP calculation (GGA-PBE) on crystalline Cs2MnCdSe4 at its relaxed geometry.

Summary:
The calculation puts the density at 4.3 Mg/m³. As for the space group: Fddd, No. 70. The formation energy (no corrections) comes out at -73.88 kJ per mole of atoms.

abc: 14.584 13.099 7.817
angles: 84.39 63.37 32.24
Fractional positions:
1 Cs 0.056 0.056 0.694
2 Cs 0.306 0.306 0.944
3 Cs 0.694 0.694 0.056
4 Cs 0.944 0.944 0.306
5 Mn 0.375 0.375 0.375
6 Mn 0.625 0.625 0.625
7 Cd 0.125 0.125 0.125
8 Cd 0.875 0.875 0.875
9 Se 0.014 0.623 0.552
10 Se 0.310 0.552 0.623
11 Se 0.377 0.986 0.690
12 Se 0.448 0.690 0.986
13 Se 0.552 0.310 0.014
14 Se 0.623 0.014 0.310
15 Se 0.690 0.448 0.377
16 Se 0.986 0.377 0.448


# 5
VASP calculation (GGA-PBE) on crystalline VTc3P at its relaxed geometry.

Summary:
For the distance to the lowest polymorph of the same formula, the calculation gives 1.014 eV/atom. The calculation puts the density at 7.0 Mg/m³. As for the space group: Pm-3m, No. 221. The calculation puts the calculated formation energy at 1.464 eV/atom.

abc: 4.461 4.461 4.461
angles: 90.00 90.00 90.00
Fractional positions:
1 V 0.000 0.000 0.000
2 Tc 0.000 0.000 0.500
3 Tc 0.000 0.500 0.000
4 Tc 0.500 0.000 0.000
5 P 0.500 0.500 0.500


- Which of these has the highest density?
  DyHo3Hg7


What did the third record say?
VASP calculation (GGA-PBE) on crystalline Ba2TlSiRu at its relaxed geometry.

Summary:
The calculation puts the density at 4.9 Mg/m³. As for the space group: P4/mmm, No. 123. The formation energy (no corrections) comes out at 84.60 kJ per mole of atoms.

abc: 6.382 6.382 5.015
angles: 90.00 90.00 90.00
Fractional positions:
1 Ba 0.000 0.500 0.000
2 Ba 0.500 0.000 0.000
3 Tl 0.000 0.000 0.000
4 Si 0.500 0.500 0.500
5 Ru 0.000 0.000 0.500


- density of number 5 (VTc3P)?
  7.0 Mg/m³